(1)
The following is a GGA-PBEsol calculation of a relaxed structure of Na2FePt, from Alexandria.

Results
space-group type = Fm-3m (225)
formation energy from the elements = 0.76 eV per atom

Cell lengths 4.627, 4.627, 4.627 Å; angles 60.00, 60.00, 60.00 degrees
Last column: magnetic moment on the atom in μB.
Sites, in units of the cell vectors:
1 Pt 0.500 0.500 0.500  0.14
2 Fe 0.000 0.000 0.000  3.19
3 Na 0.750 0.750 0.750  -0.01
4 Na 0.250 0.250 0.250  -0.01

(2)
The following is a GGA-PBEsol calculation of a relaxed structure of ErCdHg2, from Alexandria.

Results
space-group type = Fm-3m (225)
formation energy from the elements = -0.45 eV per atom

Cell lengths 4.957, 4.957, 4.957 Å; angles 60.00, 60.00, 60.00 degrees
Sites, in units of the cell vectors:
1 Er 0.000 0.000 0.000
2 Cd 0.500 0.500 0.500
3 Hg 0.250 0.250 0.250
4 Hg 0.750 0.750 0.750

(3)
The following is a GGA-PBEsol calculation of a relaxed structure of In2IBrN, from Alexandria.

Results
space-group type = P4/mmm (123)
energy relative to the elements, uncorrected = 0.656 eV per atom

Cell lengths 4.085, 6.235, 6.235 Å; angles 90.00, 90.00, 90.00 degrees
Last column: magnetic moment on the atom in μB.
Sites, in units of the cell vectors:
1 Br 0.500 0.500 0.500  0.00
2 I 0.000 0.000 0.000  0.01
3 In 0.000 0.500 0.000  0.00
4 In 0.000 0.000 0.500  0.00
5 N 0.500 0.000 0.000  0.14

(4)
The following is a GGA-PBEsol calculation of a relaxed structure of LiCuSbO4, from Alexandria.

Results
space-group type = Cmc2_1 (36)
excess energy over the best structure of this formula in the dataset = 0.0 meV/atom
energy relative to the elements, uncorrected = -1.366 eV per atom

Cell lengths 5.719, 6.185, 9.804 Å; angles 90.00, 90.00, 117.54 degrees
Last column: magnetic moment on the atom in μB.
Sites, in units of the cell vectors:
1 O 0.652 0.793 0.868  0.01
2 Li 0.367 0.733 0.200  0.00
3 Cu 0.159 0.818 0.500  0.60
4 O 0.672 0.344 0.902  0.18
5 O 0.456 0.453 0.637  0.01
6 O 0.453 0.906 0.638  0.18
7 Cu 0.841 0.182 0.000  0.60
8 Sb 0.691 0.383 0.268  0.01
9 O 0.999 0.997 0.080  0.14
10 O 0.001 0.003 0.580  0.14
11 Li 0.633 0.267 0.700  0.00
12 O 0.328 0.656 0.402  0.18
13 O 0.997 0.453 0.637  0.01
14 O 0.154 0.307 0.877  0.16
15 Li 0.001 0.001 0.769  0.00
16 Li 0.999 0.999 0.269  0.00
17 O 0.547 0.094 0.138  0.18
18 Cu 0.657 0.818 0.500  0.60
19 O 0.846 0.693 0.377  0.16
20 O 0.003 0.547 0.137  0.01
21 O 0.348 0.207 0.368  0.01
22 Sb 0.167 0.334 0.496  0.00
23 O 0.858 0.207 0.368  0.01
24 Sb 0.833 0.666 0.996  0.00
25 O 0.142 0.793 0.868  0.01
26 Sb 0.309 0.617 0.768  0.01
27 O 0.544 0.547 0.137  0.01
28 Cu 0.343 0.182 0.000  0.60

(5)
The following is a GGA-PBEsol calculation of a relaxed structure of Cr3CuBr, from Alexandria.

Results
space-group type = Pm-3m (221)
excess energy over the best structure of this formula in the dataset = 0.0 meV/atom
energy relative to the elements, uncorrected = 1.372 eV per atom

Cell lengths 4.689, 4.689, 4.689 Å; angles 90.00, 90.00, 90.00 degrees
Last column: magnetic moment on the atom in μB.
Sites, in units of the cell vectors:
1 Br 0.500 0.500 0.500  0.04
2 Cr 0.000 0.000 0.500  3.73
3 Cu 0.000 0.000 0.000  0.18
4 Cr 0.500 0.000 0.000  3.73
5 Cr 0.000 0.500 0.000  3.73

(6)
The following is a GGA-PBEsol calculation of a relaxed structure of Ba3MgNi, from Alexandria.

Results
space-group type = Pm-3m (221)
formation energy from the elements = 0.90 eV per atom

Cell lengths 6.405, 6.405, 6.405 Å; angles 90.00, 90.00, 90.00 degrees
Last column: magnetic moment on the atom in μB.
Sites, in units of the cell vectors:
1 Mg 0.000 0.000 0.000  0.00
2 Ba 0.000 0.500 0.000  -0.03
3 Ni 0.500 0.500 0.500  0.57
4 Ba 0.000 0.000 0.500  -0.03
5 Ba 0.500 0.000 0.000  -0.03

(7)
The following is a GGA-PBEsol calculation of a relaxed structure of RbCrCu2Tc, from Alexandria.

Results
space-group type = P4/mmm (123)
formation energy from the elements = 1.95 eV per atom

Cell lengths 4.717, 4.717, 5.131 Å; angles 90.00, 90.00, 90.00 degrees
Last column: magnetic moment on the atom in μB.
Sites, in units of the cell vectors:
1 Cr 0.500 0.500 0.500  4.21
2 Cu 0.500 0.000 0.000  -0.14
3 Tc 0.000 0.000 0.000  -0.94
4 Cu 0.000 0.500 0.000  -0.14
5 Rb 0.000 0.000 0.500  0.02

(8)
The following is a GGA-PBEsol calculation of a relaxed structure of GaSiOF2, from Alexandria.

Results
space-group type = P4/mmm (123)
energy relative to the elements, uncorrected = -1.615 eV per atom

Cell lengths 3.489, 4.224, 4.224 Å; angles 90.00, 90.00, 90.00 degrees
Sites, in units of the cell vectors:
1 Si 0.000 0.000 0.000
2 O 0.500 0.000 0.000
3 Ga 0.500 0.500 0.500
4 F 0.000 0.000 0.500
5 F 0.000 0.500 0.000

(9)
The following is a GGA-PBEsol calculation of a relaxed structure of Mg2TcO4, from Alexandria.

Results
space-group type = Imma (74)
energy relative to the elements, uncorrected = -2.121 eV per atom

Cell lengths 5.977, 6.036, 6.036 Å; angles 60.15, 60.32, 60.32 degrees
Last column: magnetic moment on the atom in μB.
Sites, in units of the cell vectors:
1 O 0.269 0.753 0.253  0.08
2 O 0.274 0.247 0.747  0.08
3 Tc 0.500 0.000 0.000  2.24
4 O 0.726 0.753 0.253  0.08
5 O 0.732 0.252 0.285  0.09
6 O 0.731 0.247 0.747  0.08
7 Mg 0.000 0.000 0.500  0.01
8 Tc 0.500 0.500 0.500  2.24
9 O 0.732 0.785 0.752  0.09
10 O 0.268 0.748 0.715  0.09
11 Mg 0.500 0.000 0.500  0.01
12 Mg 0.138 0.612 0.112  0.01
13 Mg 0.862 0.388 0.888  0.01
14 O 0.268 0.215 0.248  0.09

(10)
The following is a GGA-PBEsol calculation of a relaxed structure of NbTc2Mo, from Alexandria.

Results
space-group type = Fm-3m (225)
formation energy from the elements = -0.09 eV per atom

Cell lengths 4.414, 4.414, 4.414 Å; angles 60.00, 60.00, 60.00 degrees
Sites, in units of the cell vectors:
1 Mo 0.500 0.500 0.500
2 Tc 0.750 0.750 0.750
3 Tc 0.250 0.250 0.250
4 Nb 0.000 0.000 0.000

(11)
The following is a GGA-PBEsol calculation of a relaxed structure of YWF3, from Alexandria.

Results
space-group type = Pm-3m (221)
energy relative to the elements, uncorrected = -1.493 eV per atom

Cell lengths 4.434, 4.434, 4.434 Å; angles 90.00, 90.00, 90.00 degrees
Last column: magnetic moment on the atom in μB.
Sites, in units of the cell vectors:
1 W 0.500 0.500 0.500  3.75
2 Y 0.000 0.000 0.000  0.07
3 F 0.000 0.000 0.500  0.07
4 F 0.500 0.000 0.000  0.07
5 F 0.000 0.500 0.000  0.07

(12)
The following is a GGA-PBEsol calculation of a relaxed structure of NdYIr2, from Alexandria.

Results
space-group type = Fm-3m (225)
formation energy from the elements = -0.61 eV per atom

Cell lengths 4.865, 4.865, 4.865 Å; angles 60.00, 60.00, 60.00 degrees
Sites, in units of the cell vectors:
1 Nd 0.500 0.500 0.500
2 Ir 0.750 0.750 0.750
3 Y 0.000 0.000 0.000
4 Ir 0.250 0.250 0.250